Here is an optimized crystal structure of PPdN2 from Alexandria via LeMat-Bulk. Energies are from PBE.

Raw formation energy (eV/atom): 0.148
Space-group type: P1 (1)
Crystal system: triclinic
DFT total energy (eV per atom): -6.666

a = 3.085 Å, b = 3.665 Å, c = 9.229 Å
α = 78.83°, β = 80.96°, γ = 66.44°
Element x y z (fractional)
1 P 0.000 0.000 0.000
2 Pd 0.656 0.554 0.117
3 N 0.439 0.505 0.614
4 N 0.557 0.365 0.511